The following is a PBE calculation of a geometry-optimized TbSm2Sc structure, from the Alexandria database.

Lattice parameters (Å, degrees): 4.934 4.994 4.994 90.00 90.00 90.00
Positions (direct):
Sm  0.000  0.000  0.500
Sm  0.000  0.500  0.000
Tb  0.500  0.500  0.500
Sc  0.500  0.000  0.000

Output
total DFT energy (no corrections)	-5.06	eV/atom
energy relative to the lowest polymorph listed for this composition	0.0	kJ/mol of atoms
DFT formation energy	0.039	eV/atom